# YCoCu, relaxed, DFT PBE
# - Magnetic moment: 1.964 μB/cell
# - Energy relative to the elements: 28 meV per atom
# - Volume: 17.08 Å³ per atom
# - Crystal system: tetragonal
data_YCoCu
_chemical_formula_sum 'Y2 Co2 Cu2'
_cell_length_a 3.327
_cell_length_b 3.327
_cell_length_c 9.256
_cell_angle_alpha 90.00
_cell_angle_beta 90.00
_cell_angle_gamma 90.00
_symmetry_space_group_name_H-M 'I 4 m m'
_symmetry_Int_Tables_number 107
_symmetry_space_group_name_Hall 'I 4 -2'
loop_
_atom_site_label
_atom_site_fract_x
_atom_site_fract_y
_atom_site_fract_z
_atom_site_occupancy
Y1 0.000 0.000 0.000 1
Co1 0.000 0.000 0.312 1
Cu1 0.000 0.000 0.700 1